Model a:
{"formula": "B2C", "functional": "PBE-GGA", "state": "relaxed", "spacegroup": "Cm, No. 8", "m_tot_mub_per_atom": 0.000, "cell": [[1.254, 6.789, -0.370], [-1.254, 6.789, -0.370], [0.000, 1.079, 4.909]], "species": ["B", "B", "C", "B", "C", "C", "B", "B", "C", "B", "B", "B"], "fractional_positions": [[0.976, 0.976, 0.047], [0.416, 0.416, 0.589], [0.329, 0.329, 0.835], [0.084, 0.084, 0.741], [0.754, 0.754, 0.382], [0.403, 0.403, 0.055], [0.685, 0.685, 0.145], [0.089, 0.089, 0.156], [0.765, 0.765, 0.863], [0.003, 0.003, 0.471], [0.681, 0.681, 0.664], [0.315, 0.315, 0.301]]}

***

Model b:
{"formula": "B2C", "functional": "PBE-GGA", "state": "relaxed", "spacegroup": "Cm, No. 8", "m_tot_mub_per_atom": 0.000, "cell": [[-1.110, -3.488, -2.844], [-0.377, -1.467, -4.381], [6.349, -4.324, -2.655]], "species": ["B", "B", "B", "B", "C", "C", "B", "B", "B", "C", "B", "C"], "fractional_positions": [[0.120, 0.120, 0.072], [0.883, 0.883, 0.190], [0.744, 0.744, 0.073], [0.328, 0.328, 0.360], [0.510, 0.510, 0.844], [0.658, 0.658, 0.664], [0.824, 0.824, 0.698], [0.978, 0.978, 0.959], [0.471, 0.471, 0.446], [0.002, 0.002, 0.521], [0.319, 0.319, 0.873], [0.164, 0.164, 0.551]]}

***

model b has the most favorable energy; the next structure is 13 meV/atom above.

***

Model a:
{"formula": "LaTlCl2", "functional": "PBE-GGA", "state": "relaxed", "spacegroup": "P4mm, No. 99", "m_tot_mub_per_atom": 0.000, "cell": [[4.057, 0.000, 0.000], [0.000, 4.062, 0.000], [0.000, 0.000, 7.477]], "species": ["La", "Tl", "Cl", "Cl"], "fractional_positions": [[0.000, 0.000, 0.398], [0.500, 0.500, 0.736], [0.500, 0.500, 0.325], [0.000, 0.000, 0.041]]}

***

Model b:
{"formula": "LaTlCl2", "functional": "PBE-GGA", "state": "relaxed", "spacegroup": "R-3m, No. 166", "m_tot_mub_per_atom": 0.149, "cell": [[-5.791, -8.591, 1.378], [-4.194, -8.300, 4.771], [-7.301, -6.333, 3.980]], "species": ["La", "Cl", "Tl", "Cl"], "fractional_positions": [[0.250, 0.250, 0.250], [0.520, 0.520, 0.520], [0.750, 0.750, 0.750], [0.980, 0.980, 0.980]]}

***

model b has the most favorable energy; the next structure is 88 meV/atom above.